VASP calculation (PBE with a Hubbard U) on a geometry-optimized PuMoH2O8 structure.

Lattice parameters (Å, degrees): 5.060 5.065 6.374 90.79 91.06 91.89
Fractional coordinates of all 12 atoms:
1 Pu 0.000 0.000 0.000
2 Mo 0.000 0.000 0.500
3 H 0.358 0.347 0.638
4 H 0.642 0.653 0.362
5 O 0.165 0.822 0.735
6 O 0.176 0.833 0.265
7 O 0.256 0.252 0.993
8 O 0.276 0.273 0.509
9 O 0.724 0.727 0.491
10 O 0.744 0.748 0.007
11 O 0.824 0.167 0.735
12 O 0.835 0.178 0.265

DOS(E_F) = 1.44 states/eV/cell
magnetic moment = 0.0 μB per formula unit
final energy = -84.71 eV per cell